Run one
Entry from Alexandria via LeMat-Bulk: a geometry-optimized CrPI3 structure (GGA-PBE).

Summary:
- Space group: Pm-3m
- Fermi-level density of states: 2.1 states/eV/cell

Lattice parameters (Å, degrees): 5.527 5.527 5.527 90.00 90.00 90.00
Atoms (fractional coordinates):
I 0.500 0.000 0.000
Cr 0.500 0.500 0.500
I 0.000 0.000 0.500
P 0.000 0.000 0.000
I 0.000 0.500 0.000

Run two
Entry from Alexandria via LeMat-Bulk: a geometry-optimized CrPI3 structure (GGA-PBE).

Summary:
- Space group: Pm-3m
- Fermi-level density of states: 9.0 states/eV/cell

Lattice parameters (Å, degrees): 5.232 5.232 5.232 90.00 90.00 90.00
Atoms (fractional coordinates):
I 0.500 0.000 0.000
P 0.500 0.500 0.500
I 0.000 0.500 0.000
Cr 0.000 0.000 0.000
I 0.000 0.000 0.500

What is the stability order? It is run one, run two, from most stable to least stable.

Run one
Entry from Alexandria via LeMat-Bulk: a geometry-optimized Cr3PI structure (GGA-PBE).

Summary:
- Space group: Pm-3m
- Fermi-level density of states: 3.3 states/eV/cell

Lattice parameters (Å, degrees): 5.184 5.184 5.184 90.00 90.00 90.00
Atoms (fractional coordinates):
P 0.500 0.500 0.500
Cr 0.000 0.500 0.000
Cr 0.500 0.000 0.000
I 0.000 0.000 0.000
Cr 0.000 0.000 0.500

Run two
Entry from Alexandria via LeMat-Bulk: a geometry-optimized Cr3PI structure (GGA-PBE).

Summary:
- Space group: Pm-3m
- Fermi-level density of states: 5.2 states/eV/cell

Lattice parameters (Å, degrees): 4.884 4.884 4.884 90.00 90.00 90.00
Atoms (fractional coordinates):
Cr 0.500 0.000 0.000
P 0.000 0.000 0.000
Cr 0.000 0.000 0.500
I 0.500 0.500 0.500
Cr 0.000 0.500 0.000

What is the stability order? It is run two, run one, from most stable to least stable.

Run one
Entry from Alexandria via LeMat-Bulk: a geometry-optimized CrPRh2I structure (GGA-PBE).

Summary:
- Space group: P4/mmm
- Fermi-level density of states: 5.1 states/eV/cell

Lattice parameters (Å, degrees): 4.664 4.664 4.345 90.00 90.00 90.00
Atoms (fractional coordinates):
Rh 0.000 0.500 0.000
P 0.000 0.000 0.500
Cr 0.000 0.000 0.000
Rh 0.500 0.000 0.000
I 0.500 0.500 0.500

Run two
Entry from Alexandria via LeMat-Bulk: a geometry-optimized CrPRh2I structure (GGA-PBE).

Summary:
- Space group: P4/mmm
- Fermi-level density of states: 9.8 states/eV/cell

Lattice parameters (Å, degrees): 4.327 5.686 4.327 90.00 90.00 90.00
Atoms (fractional coordinates):
I 0.000 0.500 0.000
P 0.000 0.000 0.000
Cr 0.500 0.500 0.500
Rh 0.500 0.000 0.000
Rh 0.000 0.000 0.500

What is the stability order? It is run one, run two, from most stable to least stable.

Run one
Entry from Alexandria via LeMat-Bulk: a geometry-optimized CrP2SI structure (GGA-PBE).

Summary:
- Space group: P4/mmm
- Fermi-level density of states: 3.5 states/eV/cell

Lattice parameters (Å, degrees): 4.691 4.691 4.323 90.00 90.00 90.00
Atoms (fractional coordinates):
P 0.500 0.000 0.000
P 0.000 0.500 0.000
I 0.500 0.500 0.500
Cr 0.000 0.000 0.000
S 0.000 0.000 0.500

Run two
Entry from Alexandria via LeMat-Bulk: a geometry-optimized CrP2SI structure (GGA-PBE).

Summary:
- Space group: P4/mmm
- Fermi-level density of states: 3.6 states/eV/cell

Lattice parameters (Å, degrees): 5.167 5.167 5.004 90.00 90.00 90.00
Atoms (fractional coordinates):
P 0.000 0.500 0.000
P 0.500 0.000 0.000
I 0.000 0.000 0.000
S 0.000 0.000 0.500
Cr 0.500 0.500 0.500

What is the stability order? It is run one, run two, from most stable to least stable.

Run one
Entry from Alexandria via LeMat-Bulk: a geometry-optimized CrSb2PI structure (GGA-PBE).

Summary:
- Space group: P4/mmm
- Fermi-level density of states: 6.5 states/eV/cell

Lattice parameters (Å, degrees): 5.051 5.051 4.980 90.00 90.00 90.00
Atoms (fractional coordinates):
P 0.500 0.500 0.500
Sb 0.500 0.000 0.000
I 0.000 0.000 0.500
Sb 0.000 0.500 0.000
Cr 0.000 0.000 0.000

Run two
Entry from Alexandria via LeMat-Bulk: a geometry-optimized CrSb2PI structure (GGA-PBE).

Summary:
- Space group: P4/mmm
- Fermi-level density of states: 3.4 states/eV/cell

Lattice parameters (Å, degrees): 5.267 5.267 5.322 90.00 90.00 90.00
Atoms (fractional coordinates):
Sb 0.000 0.500 0.000
P 0.000 0.000 0.000
Cr 0.500 0.500 0.500
I 0.000 0.000 0.500
Sb 0.500 0.000 0.000

What is the stability order? It is run one, run two, from most stable to least stable.

Run one
Entry from Alexandria via LeMat-Bulk: a geometry-optimized CrTe2PI structure (GGA-PBE).

Summary:
- Space group: P4/mmm
- Fermi-level density of states: 6.8 states/eV/cell

Lattice parameters (Å, degrees): 4.979 4.979 5.370 90.00 90.00 90.00
Atoms (fractional coordinates):
Te 0.500 0.000 0.000
Te 0.000 0.500 0.000
Cr 0.000 0.000 0.000
I 0.000 0.000 0.500
P 0.500 0.500 0.500

Run two
Entry from Alexandria via LeMat-Bulk: a geometry-optimized CrTe2PI structure (GGA-PBE).

Summary:
- Space group: P4/mmm
- Fermi-level density of states: 6.3 states/eV/cell

Lattice parameters (Å, degrees): 5.335 5.335 5.308 90.00 90.00 90.00
Atoms (fractional coordinates):
I 0.000 0.000 0.500
Te 0.500 0.000 0.000
Cr 0.500 0.500 0.500
Te 0.000 0.500 0.000
P 0.000 0.000 0.000

What is the stability order? It is run two, run one, from most stable to least stable.

Run one
Entry from Alexandria via LeMat-Bulk: a geometry-optimized Cr3PbI structure (GGA-PBE).

Summary:
- Space group: Pm-3m
- Fermi-level density of states: 2.4 states/eV/cell

Lattice parameters (Å, degrees): 5.212 5.212 5.212 90.00 90.00 90.00
Atoms (fractional coordinates):
Pb 0.500 0.500 0.500
Cr 0.000 0.500 0.000
I 0.000 0.000 0.000
Cr 0.000 0.000 0.500
Cr 0.500 0.000 0.000

Run two
Entry from Alexandria via LeMat-Bulk: a geometry-optimized Cr3PbI structure (GGA-PBE).

Summary:
- Space group: Pm-3m
- Fermi-level density of states: 4.4 states/eV/cell

Lattice parameters (Å, degrees): 5.340 5.340 5.340 90.00 90.00 90.00
Atoms (fractional coordinates):
Pb 0.000 0.000 0.000
Cr 0.500 0.000 0.000
Cr 0.000 0.500 0.000
I 0.500 0.500 0.500
Cr 0.000 0.000 0.500

What is the stability order? It is run two, run one, from most stable to least stable.

Run one
Entry from Alexandria via LeMat-Bulk: a geometry-optimized CrSb2PbI structure (GGA-PBE).

Summary:
- Space group: P4/mmm
- Fermi-level density of states: 3.2 states/eV/cell

Lattice parameters (Å, degrees): 5.114 5.114 5.857 90.00 90.00 90.00
Atoms (fractional coordinates):
I 0.000 0.000 0.500
Pb 0.500 0.500 0.500
Sb 0.500 0.000 0.000
Cr 0.000 0.000 0.000
Sb 0.000 0.500 0.000

Run two
Entry from Alexandria via LeMat-Bulk: a geometry-optimized CrSb2PbI structure (GGA-PBE).

Summary:
- Space group: P4/mmm
- Fermi-level density of states: 4.9 states/eV/cell

Lattice parameters (Å, degrees): 5.871 5.871 6.114 90.00 90.00 90.00
Atoms (fractional coordinates):
Sb 0.500 0.000 0.000
I 0.000 0.000 0.500
Sb 0.000 0.500 0.000
Cr 0.500 0.500 0.500
Pb 0.000 0.000 0.000

What is the stability order? It is run one, run two, from most stable to least stable.

Run one
Entry from Alexandria via LeMat-Bulk: a geometry-optimized CrSbPbI2 structure (GGA-PBE).

Summary:
- Space group: P4/mmm
- Fermi-level density of states: 4.6 states/eV/cell

Lattice parameters (Å, degrees): 5.465 5.465 5.453 90.00 90.00 90.00
Atoms (fractional coordinates):
Cr 0.000 0.000 0.000
I 0.500 0.000 0.000
Pb 0.500 0.500 0.500
I 0.000 0.500 0.000
Sb 0.000 0.000 0.500

Run two
Entry from Alexandria via LeMat-Bulk: a geometry-optimized CrSbPbI2 structure (GGA-PBE).

Summary:
- Space group: P4/mmm
- Fermi-level density of states: 9.9 states/eV/cell

Lattice parameters (Å, degrees): 6.206 6.206 6.075 90.00 90.00 90.00
Atoms (fractional coordinates):
Pb 0.000 0.000 0.000
I 0.000 0.500 0.000
I 0.500 0.000 0.000
Cr 0.500 0.500 0.500
Sb 0.000 0.000 0.500

What is the stability order? It is run one, run two, from most stable to least stable.

Run one
Entry from Alexandria via LeMat-Bulk: a geometry-optimized CrTePbI2 structure (GGA-PBE).

Summary:
- Space group: P4/mmm
- Fermi-level density of states: 6.8 states/eV/cell

Lattice parameters (Å, degrees): 6.160 6.160 6.022 90.00 90.00 90.00
Atoms (fractional coordinates):
I 0.000 0.500 0.000
I 0.500 0.000 0.000
Pb 0.000 0.000 0.000
Te 0.000 0.000 0.500
Cr 0.500 0.500 0.500

Run two
Entry from Alexandria via LeMat-Bulk: a geometry-optimized CrTePbI2 structure (GGA-PBE).

Summary:
- Space group: P4/mmm
- Fermi-level density of states: 1.8 states/eV/cell

Lattice parameters (Å, degrees): 5.440 5.440 5.611 90.00 90.00 90.00
Atoms (fractional coordinates):
Pb 0.500 0.500 0.500
Te 0.000 0.000 0.500
I 0.500 0.000 0.000
I 0.000 0.500 0.000
Cr 0.000 0.000 0.000

What is the stability order? It is run two, run one, from most stable to least stable.

Run one
Entry from Alexandria via LeMat-Bulk: a geometry-optimized Cr2PdI2 structure (GGA-PBE).

Summary:
- Space group: P4/mbm
- Fermi-level density of states: 5.0 states/eV/cell

Lattice parameters (Å, degrees): 7.817 7.817 3.950 90.00 90.00 90.00
Atoms (fractional coordinates):
Cr 0.642 0.858 0.500
I 0.828 0.672 0.000
Pd 0.000 0.000 0.000
Cr 0.858 0.358 0.500
Cr 0.358 0.142 0.500
Pd 0.500 0.500 0.000
I 0.172 0.328 0.000
I 0.328 0.828 0.000
Cr 0.142 0.642 0.500
I 0.672 0.172 0.000

Run two
Entry from Alexandria via LeMat-Bulk: a geometry-optimized Cr2PdI2 structure (GGA-PBE).

Summary:
- Space group: I4/mmm
- Fermi-level density of states: 4.8 states/eV/cell

Lattice parameters (Å, degrees): 3.480 3.480 8.493 78.18 78.18 90.00
Atoms (fractional coordinates):
Pd 0.000 0.000 0.000
I 0.380 0.380 0.240
Cr 0.250 0.750 0.500
I 0.620 0.620 0.760
Cr 0.750 0.250 0.500

What is the stability order? It is run one, run two, from most stable to least stable.

Run one
Entry from Alexandria via LeMat-Bulk: a geometry-optimized CrPd2I structure (GGA-PBE).

Summary:
- Space group: Fm-3m
- Fermi-level density of states: 2.2 states/eV/cell

Lattice parameters (Å, degrees): 4.713 4.713 4.713 60.00 60.00 60.00
Atoms (fractional coordinates):
Cr 0.000 0.000 0.000
I 0.500 0.500 0.500
Pd 0.250 0.250 0.250
Pd 0.750 0.750 0.750

Run two
Entry from Alexandria via LeMat-Bulk: a geometry-optimized CrPd2I structure (GGA-PBE).

Summary:
- Space group: I-42d
- Fermi-level density of states: 7.4 states/eV/cell

Lattice parameters (Å, degrees): 7.519 7.519 5.995 51.16 51.16 90.00
Atoms (fractional coordinates):
I 0.000 0.000 0.000
Pd 0.614 0.125 0.250
Cr 0.250 0.750 0.500
Cr 0.500 0.500 0.000
Pd 0.375 0.386 0.750
Pd 0.136 0.625 0.250
Pd 0.875 0.864 0.750
I 0.750 0.250 0.500

What is the stability order? It is run one, run two, from most stable to least stable.

Run one
Entry from Alexandria via LeMat-Bulk: a geometry-optimized CrPt2I structure (GGA-PBE).

Summary:
- Space group: I-42d
- Fermi-level density of states: 7.5 states/eV/cell

Lattice parameters (Å, degrees): 6.543 6.543 6.335 58.91 58.91 90.00
Atoms (fractional coordinates):
I 0.750 0.250 0.500
Cr 0.250 0.750 0.500
Pt 0.175 0.625 0.250
I 0.000 0.000 0.000
Cr 0.500 0.500 0.000
Pt 0.875 0.825 0.750
Pt 0.375 0.425 0.750
Pt 0.575 0.125 0.250

Run two
Entry from Alexandria via LeMat-Bulk: a geometry-optimized CrPt2I structure (GGA-PBE).

Summary:
- Space group: Fm-3m
- Fermi-level density of states: 3.7 states/eV/cell

Lattice parameters (Å, degrees): 4.695 4.695 4.695 60.00 60.00 60.00
Atoms (fractional coordinates):
Pt 0.750 0.750 0.750
I 0.500 0.500 0.500
Pt 0.250 0.250 0.250
Cr 0.000 0.000 0.000

What is the stability order? It is run two, run one, from most stable to least stable.

Run one
Entry from Alexandria via LeMat-Bulk: a geometry-optimized CrPtI2 structure (GGA-PBE).

Summary:
- Space group: I-42d
- Fermi-level density of states: 3.1 states/eV/cell

Lattice parameters (Å, degrees): 6.114 6.114 7.845 67.07 67.07 90.00
Atoms (fractional coordinates):
I 0.875 0.882 0.750
I 0.375 0.368 0.750
I 0.632 0.125 0.250
Pt 0.000 0.000 0.000
Cr 0.250 0.750 0.500
I 0.118 0.625 0.250
Cr 0.500 0.500 0.000
Pt 0.750 0.250 0.500

Run two
Entry from Alexandria via LeMat-Bulk: a geometry-optimized CrPtI2 structure (GGA-PBE).

Summary:
- Space group: Fm-3m
- Fermi-level density of states: 2.9 states/eV/cell

Lattice parameters (Å, degrees): 5.096 5.096 5.096 60.00 60.00 60.00
Atoms (fractional coordinates):
I 0.250 0.250 0.250
I 0.750 0.750 0.750
Pt 0.500 0.500 0.500
Cr 0.000 0.000 0.000

What is the stability order? It is run one, run two, from most stable to least stable.